Here is a relaxed structure of AlFeMo from Alexandria via LeMat-Bulk. Energies are from PBE.

Lattice parameters (Å, degrees): 4.007 4.007 4.007 60.00 60.00 60.00
Element x y z (fractional)
Al  0.000  0.000  0.000
Fe  0.250  0.250  0.250
Mo  0.500  0.500  0.500

Results
SG: F-43m
total DFT energy (no corrections): -23.0 eV/cell
formation energy from the elements: 0.012 eV/atom
E above lowest polymorph: 224 meV per atom

=====

Here is a relaxed structure of AlFeMo2 from Alexandria via LeMat-Bulk. Energies are from PBE.

Lattice parameters (Å, degrees): 2.716 4.104 5.185 90.00 101.84 90.00
Element x y z (fractional)
Al  0.000  0.000  0.000
Fe  0.000  0.000  0.500
Mo  0.471  0.500  0.745
Mo  0.529  0.500  0.255

Results
SG: P2/m
total DFT energy (no corrections): -34.0 eV/cell
formation energy from the elements: -0.029 eV/atom

=====

Here is a relaxed structure of AlFeMo2 from Alexandria via LeMat-Bulk. Energies are from PBE.

Lattice parameters (Å, degrees): 4.929 4.929 2.674 90.00 90.00 115.76
Element x y z (fractional)
Al  0.000  0.000  0.000
Fe  0.500  0.500  0.000
Mo  0.000  0.500  0.500
Mo  0.500  0.000  0.500

Results
SG: Cmmm
total DFT energy (no corrections): -33.7 eV/cell
formation energy from the elements: 0.031 eV/atom